Here is a relaxed structure of RbTl from the Alexandria database. Energies are from PBE.

abc: 6.570 10.839 8.426
angles: 90.00 141.41 90.00
Element x y z (fractional)
Tl (0.750, 0.567, 0.750)
Tl (0.250, 0.433, 0.250)
Tl (0.750, 0.067, 0.250)
Tl (0.250, 0.933, 0.750)
Rb (0.750, 0.152, 0.750)
Rb (0.250, 0.848, 0.250)
Rb (0.750, 0.652, 0.250)
Rb (0.250, 0.348, 0.750)

Calculated values
Space-group type: C2/c
Formation energy from the elements in eV/atom: -0.047
Fermi-level density of states in states/eV per cell: 3.704
Energy above the most stable polymorph in this dataset in meV/atom: 12.1
Calculated total energy in eV/atom: -1.714
Total moment in μB per formula unit: 0.00

---

Here is a relaxed structure of HfMnFeSi2 from the Alexandria database. Energies are from PBE.

abc: 3.731 3.731 5.673
angles: 109.19 109.19 90.00
Last column: magnetic moment on the atom in μB.
Element x y z (fractional)
Hf (0.000, 0.000, 0.000)  -0.01
Mn (0.250, 0.750, 0.500)  2.10
Fe (0.750, 0.250, 0.500)  1.09
Si (0.616, 0.616, 0.231)  -0.05
Si (0.384, 0.384, 0.769)  -0.05

Calculated values
Space-group type: I-4m2
Formation energy (no corrections) in eV per formula unit: -2.91
Fermi-level density of states in states/eV per cell: 2.923
Calculated total energy in eV/atom: -8.268
Total moment in μB per formula unit: 3.16

---

Here is a relaxed structure of LiZrIN2 from the Alexandria database. Energies are from PBE.

abc: 4.108 4.108 4.563
angles: 90.00 90.00 90.00
Last column: magnetic moment on the atom in μB.
Element x y z (fractional)
I (0.000, 0.000, 0.500)  0.12
Li (0.000, 0.000, 0.000)  0.04
Zr (0.500, 0.500, 0.500)  -0.23
N (0.000, 0.500, 0.000)  0.76
N (0.500, 0.000, 0.000)  0.76

Calculated values
Space-group type: P4/mmm
Formation energy (no corrections) in eV per formula unit: 6.05
Fermi-level density of states in states/eV per cell: 3.092
Energy above the most stable polymorph in this dataset in meV/atom: 1278.8
Calculated total energy in eV/atom: -4.522
Total moment in μB per formula unit: 1.99

---

Here is a relaxed structure of ZrUPa2 from the Alexandria database. Energies are from PBE.

abc: 3.478 3.478 7.679
angles: 90.00 90.00 90.00
Element x y z (fractional)
Pa (0.000, 0.000, 0.771)
Pa (0.000, 0.000, 0.229)
U (0.500, 0.500, 0.000)
Zr (0.500, 0.500, 0.500)

Calculated values
Space-group type: P4/mmm
Formation energy from the elements in eV/atom: 0.173
Fermi-level density of states in states/eV per cell: 9.105
Energy above the most stable polymorph in this dataset in meV/atom: 32.7
Calculated total energy in eV/atom: -9.534
Total moment in μB per formula unit: 0.00

---

Here is a relaxed structure of PmY2TcN4 from the Alexandria database. Energies are from PBE.

abc: 3.455 6.102 11.642
angles: 90.00 90.00 106.45
Element x y z (fractional)
Pm (0.125, 0.251, 0.750)
Pm (0.875, 0.749, 0.250)
Y (0.369, 0.737, 0.540)
Y (0.631, 0.263, 0.040)
Y (0.631, 0.263, 0.460)
Y (0.369, 0.737, 0.960)
Tc (0.860, 0.721, 0.750)
Tc (0.140, 0.279, 0.250)
N (0.264, 0.527, 0.129)
N (0.736, 0.473, 0.629)
N (0.736, 0.473, 0.871)
N (0.264, 0.527, 0.371)
N (0.000, 0.000, 0.500)
N (0.000, 0.000, 0.000)
N (0.442, 0.883, 0.750)
N (0.558, 0.117, 0.250)

Calculated values
Space-group type: Cmcm
Formation energy (no corrections) in eV per formula unit: -8.60
Fermi-level density of states in states/eV per cell: 3.146
Calculated total energy in eV/atom: -8.743
Total moment in μB per formula unit: 0.00

---

Here is a relaxed structure of K2CdHg2Se4 from the Alexandria database. Energies are from PBE.

abc: 4.206 7.688 8.928
angles: 107.05 103.62 90.00
Element x y z (fractional)
K (0.124, 0.547, 0.248)
K (0.876, 0.453, 0.752)
Cd (0.000, 0.000, 0.000)
Hg (0.666, 0.008, 0.332)
Hg (0.334, 0.992, 0.668)
Se (0.223, 0.225, 0.445)
Se (0.777, 0.775, 0.555)
Se (0.519, 0.770, 0.037)
Se (0.481, 0.230, 0.963)

Calculated values
Space-group type: C2/m
Formation energy (no corrections) in eV per formula unit: -5.60
Calculated total energy in eV/atom: -2.583
Total moment in μB per formula unit: 0.00

---

Here is a relaxed structure of Cu3Cl4 from the Alexandria database. Energies are from PBE.

abc: 5.337 5.337 5.337
angles: 90.00 90.00 90.00
Element x y z (fractional)
Cu (0.000, 0.000, 0.500)
Cu (0.500, 0.000, 0.000)
Cu (0.000, 0.500, 0.000)
Cl (0.249, 0.249, 0.751)
Cl (0.751, 0.751, 0.751)
Cl (0.249, 0.751, 0.249)
Cl (0.751, 0.249, 0.249)

Calculated values
Space-group type: P-43m
Formation energy (no corrections) in eV per formula unit: -3.60
Fermi-level density of states in states/eV per cell: 10.112
Energy above the most stable polymorph in this dataset in meV/atom: 0.0
Calculated total energy in eV/atom: -3.325
Total moment in μB per formula unit: 0.05

---

Here is a relaxed structure of CoCuRh from the Alexandria database. Energies are from PBE.

abc: 4.518 4.518 4.518
angles: 145.50 133.07 59.53
Last column: magnetic moment on the atom in μB.
Element x y z (fractional)
Co (0.001, 0.001, 0.000)  1.85
Rh (0.663, 0.663, 0.000)  0.72
Cu (0.336, 0.336, 0.000)  0.10

Calculated values
Space-group type: Imm2
Formation energy from the elements in eV/atom: 0.078
Fermi-level density of states in states/eV per cell: 2.579
Energy above the most stable polymorph in this dataset in meV/atom: 0.0
Calculated total energy in eV/atom: -6.107
Total moment in μB per formula unit: 2.59